(1)
## Tl11Se5Br (PBE)

Data for Tl11Se5Br after structural relaxation.

Cell: 12.612 13.953 7.351 Å, 90.00 114.32 90.00°
Space group C2/m (No. 12)
One atom of each set of equivalent atoms:
1 Tl 0.000 0.000 0.000 x2
2 Tl 0.068 0.234 0.765 x8
3 Tl 0.184 0.500 0.911 x4
4 Tl 0.197 0.381 0.387 x8
5 Se 0.000 0.500 0.500 x2
6 Se 0.191 0.173 0.189 x8
7 Br 0.000 0.000 0.500 x2

Results
DFT total energy, eV/atom: -3.0102
Volume, Å³/f.u.: 589.4
Density of states at the Fermi level, states/eV per cell: 0.2


(2)
## Tl8Se6Br (PBE)

Data for Tl8Se6Br after structural relaxation.

Cell: 13.0131 13.0131 10.2720 Å, 90.00 90.00 120.00°
Space group R-3 (No. 148, hexagonal axes)
One atom of each set of equivalent atoms:
1 Tl 0.0000 0.0000 0.2010 x6
2 Tl 0.0344 0.4560 0.2956 x18
3 Se 0.0180 0.2136 0.1949 x18
4 Br 0.0000 0.0000 0.5000 x3

Results
DFT total energy, eV/atom: -3.0862
Volume, Å³/f.u.: 502.1
Density of states at the Fermi level, states/eV per cell: 27.8


(3)
## TlSe2Br2 (PBE)

Data for TlSe2Br2 after structural relaxation.

Cell: 3.731 3.731 22.852 Å, 90.00 90.00 90.00°
Space group I4/mmm (No. 139)
One atom of each set of equivalent atoms:
1 Tl 0.000 0.000 0.000 x2
2 Se 0.000 0.500 0.250 x4
3 Br 0.000 0.000 0.420 x4

Results
Offset from the most stable computed form, meV/atom: 0
DFT total energy, eV/atom: -2.6899
Volume, Å³/f.u.: 159.1
Density of states at the Fermi level, states/eV per cell: 5.2